PBE CrRhW2, relaxed; symmetry = P4/mmm (123); final energy = -10.62 eV/atom; formation enthalpy at 0 K = 0.10 eV per atom; excess energy over the best structure of this formula in the dataset = 4 meV per atom
1.0
2.897 0.000 0.000
0.000 2.897 0.000
0.000 0.000 6.978
Cr Rh W
1 1 2
direct
0.000 0.000 0.000 Cr
0.000 0.000 0.500 Rh
0.500 0.500 0.226 W
0.500 0.500 0.774 W

PBE YIn2FeGe, relaxed; symmetry = P4/mmm (123); final energy = -5.02 eV/atom; formation enthalpy at 0 K = -0.02 eV per atom
1.0
4.982 0.000 0.000
0.000 4.982 0.000
0.000 0.000 4.538
Y In Fe Ge
1 2 1 1
direct
0.000 0.000 0.000 Y
0.000 0.500 0.500 In
0.500 0.000 0.500 In
0.500 0.500 0.500 Fe
0.500 0.500 0.000 Ge

PBE LiRuPb2, relaxed; symmetry = P4mm (99); final energy = -4.44 eV/atom; formation enthalpy at 0 K = 0.21 eV per atom; excess energy over the best structure of this formula in the dataset = 100 meV per atom
1.0
3.452 0.000 0.000
0.000 3.452 0.000
0.000 0.000 6.959
Li Ru Pb
1 1 2
direct
0.000 0.000 0.000 Li
0.500 0.500 0.821 Ru
0.000 0.000 0.603 Pb
0.500 0.500 0.227 Pb

PBE K2Sc2PaSe6, relaxed; formation energy (no corrections) = -1.571 eV/atom; symmetry = C2/m (12); final energy = -5.69 eV/atom
1.0
3.468 -6.036 0.000
3.468 6.036 0.000
-2.311 0.000 7.868
K Sc Pa Se
2 2 1 6
direct
0.165 0.835 0.000 K
0.835 0.165 0.000 K
0.333 0.667 0.500 Sc
0.667 0.333 0.500 Sc
0.000 0.000 0.500 Pa
0.065 0.407 0.696 Se
0.278 0.278 0.304 Se
0.407 0.065 0.696 Se
0.593 0.935 0.304 Se
0.722 0.722 0.696 Se
0.935 0.593 0.304 Se

PBE TbAl3AgPd, relaxed; symmetry = Cmcm (63); final energy = -4.40 eV/atom; formation enthalpy at 0 K = -0.41 eV per atom
1.0
2.987 -6.521 0.000
2.987 6.521 0.000
0.000 0.000 5.915
Tb Al Ag Pd
2 6 2 2
direct
0.202 0.798 0.750 Tb
0.798 0.202 0.250 Tb
0.217 0.217 0.000 Al
0.217 0.217 0.500 Al
0.368 0.632 0.250 Al
0.632 0.368 0.750 Al
0.783 0.783 0.000 Al
0.783 0.783 0.500 Al
0.159 0.841 0.250 Ag
0.841 0.159 0.750 Ag
0.411 0.589 0.750 Pd
0.589 0.411 0.250 Pd

PBE KTl2InBr4, relaxed; formation energy (no corrections) = -1.032 eV/atom; symmetry = P2/m (10); final energy = -2.94 eV/atom
1.0
8.218 0.000 0.000
0.000 4.746 0.000
-2.733 0.000 7.756
K Tl In Br
1 2 1 4
direct
0.000 0.000 0.000 K
0.500 0.000 0.500 Tl
0.500 0.500 0.000 Tl
0.000 0.500 0.500 In
0.245 0.500 0.248 Br
0.246 0.000 0.750 Br
0.754 0.000 0.250 Br
0.755 0.500 0.752 Br

PBE SrPrReO6, relaxed; formation energy (no corrections) = -2.368 eV/atom; symmetry = P312 (149); final energy = -7.77 eV/atom
1.0
5.727 0.000 0.000
-2.863 4.960 0.000
0.000 0.000 4.918
Sr Pr Re O
1 1 1 6
direct
0.000 0.000 0.000 Sr
0.667 0.333 0.500 Pr
0.333 0.667 0.000 Re
0.050 0.405 0.222 O
0.050 0.645 0.778 O
0.355 0.405 0.778 O
0.355 0.950 0.222 O
0.595 0.645 0.222 O
0.595 0.950 0.778 O

PBE Ac9NdY2, relaxed; symmetry = P4/mmm (123); final energy = -4.53 eV/atom; formation enthalpy at 0 K = 0.03 eV per atom
1.0
5.507 0.000 0.000
0.000 5.507 0.000
0.000 0.000 16.539
Ac Nd Y
9 1 2
direct
0.000 0.000 0.000 Ac
0.000 0.000 0.334 Ac
0.000 0.000 0.666 Ac
0.000 0.500 0.168 Ac
0.000 0.500 0.500 Ac
0.000 0.500 0.832 Ac
0.500 0.000 0.168 Ac
0.500 0.000 0.500 Ac
0.500 0.000 0.832 Ac
0.500 0.500 0.000 Nd
0.500 0.500 0.334 Y
0.500 0.500 0.666 Y